Density functional theory data (PBE-GGA) for CaPuHgAu after structural relaxation.

Unit cell a=3.619 b=3.619 c=7.766 alpha=90.00 beta=90.00 gamma=90.00
Element x y z (fractional)
Ca: 0.000 0.000 0.000
Pu: 0.000 0.000 0.528
Hg: 0.500 0.500 0.263
Au: 0.500 0.500 0.763

Computed properties:
- Magnetization: 5.796 μB/cell
- Excess energy over the best structure of this formula in the dataset: 0 meV/atom
- E_form: -461 meV/atom